## YTcRh (GGA-PBE)

Data for an optimized crystal structure of YTcRh.

Cell and atoms, written as POSCAR:
```
YTcRh
1.0
0.0000 3.1696 3.1696
3.1696 0.0000 3.1696
3.1696 3.1696 0.0000
Y Tc Rh
1 1 1
Cartesian
0.0000 0.0000 0.0000 Y
3.1696 3.1696 3.1696 Tc
1.5848 1.5848 1.5848 Rh
```

Computed properties:
M_tot, μB per formula unit: 1.2
Excess energy over the best structure of this formula in the dataset, eV per formula unit: 0.861
Space-group type: F-43m, No. 216
Formation energy, eV per atom: 0.250